1.
{
  "formula": "LiSc2In",
  "functional": "PBE",
  "state": "optimized geometry",
  "lattice_angstrom": [[5.477, 0.002, 0.000], [1.956, 5.115, 0.000], [-3.716, -2.559, 3.104]],
  "species": ["Sc", "In", "Li", "Sc"],
  "fractional_positions": [[0.250, 0.750, 0.500], [0.500, 0.500, 0.000], [0.750, 0.250, 0.500], [0.000, 0.000, 0.000]],
  "ef_ev_per_atom": -0.121,
  "n_ef_per_ev_cell": 4.0,
  "spacegroup": "I-4m2, No. 119"
}

=====

2.
{
  "formula": "Ca4InH",
  "functional": "PBE",
  "state": "optimized geometry",
  "lattice_angstrom": [[-3.135, -2.973, 2.999], [5.744, -3.283, 2.750], [0.421, 6.518, 6.903]],
  "species": ["H", "Ca", "In", "Ca", "Ca", "Ca", "In", "Ca", "Ca", "Ca", "Ca", "H"],
  "fractional_positions": [[0.396, 0.407, 0.000], [0.895, 0.430, 0.000], [0.895, 0.997, 0.000], [0.895, 0.806, 0.307], [0.395, 0.570, 0.500], [0.395, 0.740, 0.000], [0.395, 0.003, 0.500], [0.395, 0.194, 0.807], [0.395, 0.194, 0.193], [0.895, 0.260, 0.500], [0.895, 0.806, 0.693], [0.896, 0.593, 0.500]],
  "final_energy_ev_per_atom": -2.63,
  "n_ef_per_ev_cell": 7.7,
  "spacegroup": "Pmn2_1, No. 31"
}

=====

3.
{
  "formula": "Rb3Dy2SnTe6",
  "functional": "PBE",
  "state": "optimized geometry",
  "lattice_angstrom": [[-2.774, 0.868, -7.317], [-1.873, -6.400, 4.187], [-5.323, 5.873, 4.127]],
  "species": ["Dy", "Rb", "Te", "Te", "Dy", "Rb", "Rb", "Te", "Sn", "Te", "Te", "Te"],
  "fractional_positions": [[0.667, 0.333, 0.000], [0.834, 0.166, 0.500], [0.934, 0.600, 0.803], [0.066, 0.400, 0.197], [0.333, 0.667, 0.000], [0.500, 0.500, 0.500], [0.166, 0.834, 0.500], [0.269, 0.269, 0.803], [0.000, 0.000, 0.000], [0.600, 0.934, 0.803], [0.400, 0.066, 0.197], [0.731, 0.731, 0.197]],
  "e_form_raw_ev_per_atom": -1.0889,
  "n_ef_per_ev_cell": 4.1,
  "spacegroup": "C2/m, No. 12"
}

=====

4.
{
  "formula": "PuTaHgO6",
  "functional": "PBE",
  "state": "optimized geometry",
  "lattice_angstrom": [[-1.025, 0.196, 5.488], [-3.578, -2.591, -3.419], [4.866, -8.314, 1.206]],
  "species": ["Pu", "Ta", "O", "O", "O", "Hg", "Pu", "O", "O", "O", "Hg", "O", "O", "O", "O", "O", "Ta", "O"],
  "fractional_positions": [[0.667, 0.333, 0.750], [0.667, 0.333, 0.250], [0.643, 0.017, 0.360], [0.983, 0.357, 0.140], [0.017, 0.643, 0.860], [0.000, 0.000, 0.000], [0.333, 0.667, 0.250], [0.357, 0.983, 0.640], [0.643, 0.625, 0.140], [0.017, 0.375, 0.640], [0.000, 0.000, 0.500], [0.375, 0.357, 0.360], [0.983, 0.625, 0.360], [0.625, 0.643, 0.640], [0.357, 0.375, 0.860], [0.375, 0.017, 0.140], [0.333, 0.667, 0.750], [0.625, 0.983, 0.860]],
  "e_form_raw_ev_per_atom": -2.1595,
  "n_ef_per_ev_cell": 18.5,
  "spacegroup": "P-31c, No. 163"
}

=====

5.
{
  "formula": "AgSe2Cl",
  "functional": "PBE",
  "state": "optimized geometry",
  "lattice_angstrom": [[-2.490, -2.775, -0.705], [0.859, 0.168, -3.692], [4.657, -4.404, 0.884]],
  "species": ["Se", "Cl", "Se", "Ag"],
  "fractional_positions": [[0.000, 0.000, 0.069], [0.500, 0.500, 0.750], [0.000, 0.000, 0.431], [0.500, 0.500, 0.250]],
  "de_polymorph_kj_per_mol_atoms": 35.93,
  "e_form_raw_ev_per_atom": 0.1831,
  "n_ef_per_ev_cell": 3.5,
  "spacegroup": "P4/mmm, No. 123"
}

=====

6.
{
  "formula": "TeSeBr2",
  "functional": "PBE",
  "state": "optimized geometry",
  "lattice_angstrom": [[3.883, 0.000, 0.000], [0.000, 7.311, 0.311], [0.000, 4.913, 5.445]],
  "species": ["Se", "Te", "Br", "Br"],
  "fractional_positions": [[0.000, 0.606, 0.608], [0.500, 0.741, 0.741], [0.500, 0.250, 0.250], [0.000, 0.903, 0.901]],
  "de_polymorph_kj_per_mol_atoms": 2.21,
  "e_form_raw_ev_per_atom": -0.1443,
  "n_ef_per_ev_cell": 2.4,
  "spacegroup": "Pm, No. 6"
}

=====

7.
{
  "formula": "Ho3MgCu4",
  "functional": "PBE",
  "state": "optimized geometry",
  "lattice_angstrom": [[-0.729, 3.526, -3.151], [-6.569, 0.242, 1.792], [2.078, 6.459, 6.747]],
  "species": ["Mg", "Cu", "Ho", "Cu", "Cu", "Ho", "Ho", "Cu", "Cu", "Ho", "Ho", "Cu", "Cu", "Ho", "Cu", "Mg"],
  "fractional_positions": [[0.000, 0.500, 0.000], [0.999, 0.254, 0.750], [0.000, 0.000, 0.000], [0.500, 0.746, 0.000], [0.001, 0.254, 0.250], [0.000, 0.000, 0.500], [0.500, 0.000, 0.250], [0.500, 0.254, 0.000], [0.500, 0.746, 0.500], [0.501, 0.500, 0.250], [0.500, 0.000, 0.750], [0.001, 0.746, 0.250], [0.999, 0.746, 0.750], [0.499, 0.500, 0.750], [0.500, 0.254, 0.500], [0.000, 0.500, 0.500]],
  "ef_ev_per_atom": -0.213,
  "n_ef_per_ev_cell": 6.9,
  "spacegroup": "P4/mmm, No. 123"
}

=====

8.
{
  "formula": "PmGaSi2Ni5",
  "functional": "PBE",
  "state": "optimized geometry",
  "lattice_angstrom": [[3.767, 0.000, 0.000], [0.000, 3.767, 0.000], [0.000, 0.000, 10.023]],
  "species": ["Ni", "Si", "Ni", "Ni", "Pm", "Ni", "Ga", "Si", "Ni"],
  "fractional_positions": [[0.500, 0.500, 0.500], [0.500, 0.500, 0.720], [0.000, 0.500, 0.153], [0.500, 0.000, 0.153], [0.000, 0.000, 0.500], [0.000, 0.500, 0.847], [0.000, 0.000, 0.000], [0.500, 0.500, 0.280], [0.500, 0.000, 0.847]],
  "e_form_raw_ev_per_atom": -0.3003,
  "n_ef_per_ev_cell": 5.6,
  "spacegroup": "P4/mmm, No. 123"
}

=====

9.
{
  "formula": "BaIrAu",
  "functional": "PBE",
  "state": "optimized geometry",
  "lattice_angstrom": [[5.049, 0.000, 0.000], [2.525, 4.373, 0.000], [2.525, 1.458, 4.123]],
  "species": ["Ir", "Ba", "Au"],
  "fractional_positions": [[0.000, 0.000, 0.000], [0.750, 0.750, 0.750], [0.500, 0.500, 0.500]],
  "de_polymorph_kj_per_mol_atoms": 109.43,
  "ef_ev_per_atom": 0.957,
  "n_ef_per_ev_cell": 7.9,
  "spacegroup": "F-43m, No. 216"
}

=====

10.
{
  "formula": "TaNiOs",
  "functional": "PBE",
  "state": "optimized geometry",
  "lattice_angstrom": [[4.086, 0.000, 0.000], [2.043, 3.538, 0.000], [2.043, 1.179, 3.336]],
  "species": ["Ta", "Os", "Ni"],
  "fractional_positions": [[0.500, 0.500, 0.500], [0.000, 0.000, 0.000], [0.750, 0.750, 0.750]],
  "de_polymorph_kj_per_mol_atoms": 65.77,
  "ef_ev_per_atom": 0.339,
  "n_ef_per_ev_cell": 3.8,
  "spacegroup": "F-43m, No. 216"
}

=====

11.
{
  "formula": "PrTi2NiN4",
  "functional": "PBE",
  "state": "optimized geometry",
  "lattice_angstrom": [[3.178, 0.000, 0.000], [-1.589, 5.332, 0.000], [0.000, 0.000, 10.650]],
  "species": ["Ti", "N", "N", "N", "N", "N", "Ti", "Pr", "Pr", "N", "Ti", "Ni", "N", "N", "Ti", "Ni"],
  "fractional_positions": [[0.367, 0.733, 0.549], [0.000, 0.000, 0.000], [0.434, 0.868, 0.750], [0.734, 0.467, 0.606], [0.266, 0.533, 0.394], [0.266, 0.533, 0.106], [0.367, 0.733, 0.951], [0.894, 0.788, 0.250], [0.106, 0.212, 0.750], [0.000, 0.000, 0.500], [0.633, 0.267, 0.451], [0.159, 0.317, 0.250], [0.566, 0.132, 0.250], [0.734, 0.467, 0.894], [0.633, 0.267, 0.049], [0.841, 0.683, 0.750]],
  "e_form_raw_ev_per_atom": -1.0931,
  "n_ef_per_ev_cell": 6.3,
  "spacegroup": "Cmcm, No. 63"
}

=====

12.
{
  "formula": "TbY6Sc2",
  "functional": "PBE",
  "state": "optimized geometry",
  "lattice_angstrom": [[-5.364, -2.385, 2.879], [1.570, -9.157, -0.964], [3.070, -0.759, 8.789]],
  "species": ["Sc", "Y", "Tb", "Y", "Y", "Y", "Sc", "Y", "Y", "Sc", "Y", "Y", "Y", "Sc", "Tb", "Y", "Y", "Y"],
  "fractional_positions": [[0.128, 0.651, 0.709], [0.264, 0.950, 0.540], [0.250, 0.142, 0.858], [0.815, 0.962, 0.795], [0.999, 0.331, 0.617], [0.764, 0.540, 0.950], [0.628, 0.709, 0.651], [0.501, 0.383, 0.669], [0.736, 0.050, 0.460], [0.372, 0.291, 0.349], [0.001, 0.669, 0.383], [0.499, 0.617, 0.331], [0.315, 0.795, 0.962], [0.872, 0.349, 0.291], [0.750, 0.858, 0.142], [0.236, 0.460, 0.050], [0.185, 0.038, 0.205], [0.685, 0.205, 0.038]],
  "de_polymorph_kj_per_mol_atoms": 4.22,
  "ef_ev_per_atom": 0.125,
  "n_ef_per_ev_cell": 20.3,
  "spacegroup": "C2/c, No. 15"
}

=====

no.,magnetization (μB/cell)
1,0.0
2,0.0
3,0.0
4,6.0
5,0.0
6,0.0
7,0.0
8,0.0
9,0.2
10,0.0
11,0.0
12,0.0